# 1
Entry from OQMD: an optimized crystal structure of Gd3Cd3Ag2Au (PBE).

Geometry as POSCAR:
```
Gd3Cd3Ag2Au
1.0
7.858 0.000 0.000
-3.929 6.805 0.000
0.000 0.000 3.974
Gd Cd Ag Au
3 3 2 1
Cartesian
-1.569 2.717 0.000
3.137 0.000 0.000
2.360 4.088 0.000
-2.892 5.008 1.987
1.037 1.797 1.987
5.783 0.000 1.987
0.000 4.537 1.987
3.929 2.268 1.987
0.000 0.000 0.000
```

As for the total energy: -3.269 eV per atom. The symmetry is P-62m, No. 189.

=====

# 2
Entry from OQMD: an optimized crystal structure of Gd2HoCd3AgAu2 (PBE).

Geometry as POSCAR:
```
Gd2HoCd3AgAu2
1.0
3.866 0.000 0.000
0.000 6.804 3.940
0.000 -6.804 3.940
Gd Ho Cd Ag Au
2 1 3 1 2
Cartesian
0.000 -4.030 3.940
0.000 4.030 3.940
0.000 0.000 3.057
1.933 0.000 0.456
1.933 -1.771 5.239
1.933 1.771 5.239
0.000 0.000 6.267
1.933 -2.246 2.341
1.933 2.246 2.341
```

As for the total energy: -3.463 eV per atom. The symmetry is Amm2, No. 38.

=====

# 3
Entry from OQMD: an optimized crystal structure of La2GdCd3AgAu2 (PBE).

Geometry as POSCAR:
```
La2GdCd3AgAu2
1.0
3.975 0.000 0.000
0.000 6.954 4.029
0.000 -6.954 4.029
La Gd Cd Ag Au
2 1 3 1 2
Cartesian
0.000 -4.105 4.029
0.000 4.105 4.029
0.000 0.000 3.111
1.987 0.000 0.446
1.987 -1.755 5.354
1.987 1.755 5.354
0.000 0.000 6.397
1.987 -2.264 2.399
1.987 2.264 2.399
```

As for the total energy: -3.539 eV per atom. The symmetry is Amm2, No. 38.